1.
Compound: AcY2PuAs4
Source: Alexandria
Functional: PBE-GGA
Structure: relaxed

a = 4.246 Å, b = 7.347 Å, c = 7.347 Å
α = 70.55°, β = 90.00°, γ = 90.00°
Each line ends with the local moment (μB).
Positions (direct):
As 0.000 0.765 0.734  -0.05
As 0.500 0.757 0.259  -0.08
Y 0.000 0.000 0.000  -0.01
Y 0.500 0.000 0.500  0.01
Ac 0.500 0.500 0.000  0.00
As 0.500 0.243 0.741  -0.08
Pu 0.000 0.500 0.500  5.09
As 0.000 0.235 0.266  -0.05

Calculated values
calculated volume	27.02	Å³/atom
space-group type	P2/m
uncorrected energy	-60.77	eV/cell

***

2.
Compound: TaRe3
Source: Alexandria
Functional: PBE-GGA
Structure: relaxed

a = 2.797 Å, b = 9.345 Å, c = 2.797 Å
α = 90.00°, β = 120.00°, γ = 90.00°
Positions (direct):
Ta 0.667 0.750 0.333
Re 0.667 0.250 0.333
Re 0.000 0.014 0.000
Re 0.000 0.486 0.000

Calculated values
calculated volume	15.82	Å³/atom
space-group type	P-6m2
uncorrected energy	-48.71	eV/cell

***

3.
Compound: Li5Cu3Rh
Source: Alexandria
Functional: PBE-GGA
Structure: relaxed

a = 6.423 Å, b = 6.423 Å, c = 8.391 Å
α = 76.19°, β = 76.19°, γ = 83.91°
Positions (direct):
Li 0.594 0.073 0.618
Li 0.073 0.594 0.618
Cu 0.872 0.872 0.793
Li 0.283 0.717 0.000
Rh 0.149 0.149 0.691
Cu 0.000 0.000 0.000
Li 0.282 0.282 0.923
Li 0.718 0.718 0.077
Cu 0.128 0.128 0.207
Li 0.406 0.927 0.382
Cu 0.000 0.000 0.500
Li 0.717 0.283 0.000
Li 0.927 0.406 0.382
Rh 0.851 0.851 0.309
Cu 0.586 0.586 0.371
Li 0.661 0.661 0.657
Li 0.339 0.339 0.343
Cu 0.414 0.414 0.629

Calculated values
distance to the lowest polymorph of the same formula	170	meV/atom
calculated volume	18.11	Å³/atom
space-group type	C2/m

***

4.
Compound: BaOsW
Source: Alexandria
Functional: PBE-GGA
Structure: relaxed

a = 3.055 Å, b = 3.055 Å, c = 7.959 Å
α = 90.00°, β = 90.00°, γ = 120.00°
Positions (direct):
Ba 0.000 0.000 0.006
Os 0.667 0.333 0.377
W 0.333 0.667 0.617

Calculated values
distance to the lowest polymorph of the same formula	520	meV/atom
calculated volume	21.44	Å³/atom
space-group type	P3m1

***

Q: calculated volume of number 4 (BaOsW)?
A: 21.44 Å³/atom